## Tb4InIr2 (GGA-PBE)

Data for a geometry-optimized Tb4InIr2 structure.

Lattice parameters (Å, degrees): 10.2829 10.2829 10.2829 26.14 26.14 26.14
Fractional positions:
1 Tb 0.1090 0.1090 0.1090
2 Tb 0.2989 0.2989 0.2989
3 Tb 0.7011 0.7011 0.7011
4 Tb 0.8910 0.8910 0.8910
5 In 0.5000 0.5000 0.5000
6 Ir 0.4025 0.4025 0.4025
7 Ir 0.5975 0.5975 0.5975

Output
Space group: R-3m (166)
Crystal system: trigonal

## CoNi2Mo (GGA-PBE)

Data for a geometry-optimized CoNi2Mo structure.

Lattice parameters (Å, degrees): 5.7720 5.7720 5.7720 90.00 90.00 90.00
Fractional positions:
1 Co 0.0000 0.0000 0.0000
2 Co 0.0000 0.5000 0.5000
3 Co 0.5000 0.0000 0.5000
4 Co 0.5000 0.5000 0.0000
5 Ni 0.0000 0.0000 0.5000
6 Ni 0.0000 0.5000 0.0000
7 Ni 0.2500 0.2500 0.2500
8 Ni 0.2500 0.7500 0.7500
9 Ni 0.5000 0.0000 0.0000
10 Ni 0.5000 0.5000 0.5000
11 Ni 0.7500 0.2500 0.7500
12 Ni 0.7500 0.7500 0.2500
13 Mo 0.2500 0.2500 0.7500
14 Mo 0.2500 0.7500 0.2500
15 Mo 0.7500 0.2500 0.2500
16 Mo 0.7500 0.7500 0.7500

Output
Space group: F-43m (216)
Crystal system: cubic
Excess energy over the best structure of this formula in the dataset, eV per atom: 0.138

## CaCd2Br6 (GGA-PBE)

Data for a geometry-optimized CaCd2Br6 structure.

Lattice parameters (Å, degrees): 9.3119 9.3119 8.3029 103.66 103.66 25.66
Fractional positions:
1 Ca 0.0000 0.0000 0.0000
2 Cd 0.3314 0.3314 0.6648
3 Cd 0.6686 0.6686 0.3352
4 Br 0.1664 0.1664 0.1000
5 Br 0.1716 0.1716 0.5704
6 Br 0.4922 0.4922 0.7513
7 Br 0.5078 0.5078 0.2487
8 Br 0.8284 0.8284 0.4296
9 Br 0.8336 0.8336 0.9000

Output
Space group: C2/m (12)
Crystal system: monoclinic
Excess energy over the best structure of this formula in the dataset, eV per atom: 0.000
Formation energy without anion corrections, eV/f.u.: -11.21

## Nd4Tm5In (GGA-PBE)

Data for a geometry-optimized Nd4Tm5In structure.

Lattice parameters (Å, degrees): 8.1024 8.1024 8.1024 97.30 97.30 138.24
Fractional positions:
1 Nd 0.0000 0.3113 0.3113
2 Nd 0.0000 0.6887 0.6887
3 Nd 0.3113 0.0000 0.3113
4 Nd 0.6887 0.0000 0.6887
5 Tm 0.2119 0.2119 0.0000
6 Tm 0.3161 0.3161 0.6323
7 Tm 0.3161 0.6838 0.0000
8 Tm 0.6838 0.3161 0.0000
9 Tm 0.6838 0.6838 0.3677
10 In 0.7268 0.7268 0.0000

Output
Space group: I4mm (107)
Crystal system: tetragonal
Excess energy over the best structure of this formula in the dataset, eV per atom: 0.153

## SnTeI2Br (GGA-PBE)

Data for a geometry-optimized SnTeI2Br structure.

Lattice parameters (Å, degrees): 5.8893 5.8893 6.0938 90.00 90.00 90.00
Fractional positions:
1 Sn 0.0000 0.0000 0.0000
2 Te 0.0000 0.0000 0.5000
3 I 0.0000 0.5000 0.0000
4 I 0.5000 0.0000 0.0000
5 Br 0.5000 0.5000 0.5000

Output
Space group: P4/mmm (123)
Crystal system: tetragonal
Excess energy over the best structure of this formula in the dataset, eV per atom: 0.000
Formation energy without anion corrections, eV/f.u.: 0.97

## BaAgPPd2 (GGA-PBE)

Data for a geometry-optimized BaAgPPd2 structure.

Lattice parameters (Å, degrees): 4.8100 4.8100 4.8307 90.00 90.00 90.00
Fractional positions:
1 Ba 0.0000 0.0000 0.0000
2 Ag 0.5000 0.5000 0.0000
3 P 0.5000 0.5000 0.5000
4 Pd 0.0000 0.5000 0.5000
5 Pd 0.5000 0.0000 0.5000

Output
Space group: P4/mmm (123)
Crystal system: tetragonal

## PuHg8 (GGA-PBE)

Data for a geometry-optimized PuHg8 structure.

Lattice parameters (Å, degrees): 7.4681 7.4681 7.4681 95.29 95.29 144.65
Fractional positions:
1 Pu 0.0000 0.0000 0.0000
2 Hg 0.0000 0.3329 0.3329
3 Hg 0.0000 0.6671 0.6671
4 Hg 0.3329 0.0000 0.3329
5 Hg 0.3328 0.3328 0.6655
6 Hg 0.3328 0.6672 0.0000
7 Hg 0.6671 0.0000 0.6671
8 Hg 0.6672 0.3328 0.0000
9 Hg 0.6672 0.6672 0.3345

Output
Space group: I4/mmm (139)
Crystal system: tetragonal

## AgC2 (GGA-PBE)

Data for a geometry-optimized AgC2 structure.

Lattice parameters (Å, degrees): 13.0868 2.6059 6.5803 90.00 104.45 90.00
Fractional positions:
1 Ag 0.1922 0.0000 0.1172
2 Ag 0.3078 0.5000 0.8828
3 Ag 0.6922 0.5000 0.1172
4 Ag 0.8078 0.0000 0.8828
5 C 0.0684 0.0000 0.3666
6 C 0.0772 0.5000 0.3494
7 C 0.4228 0.0000 0.6506
8 C 0.4316 0.5000 0.6334
9 C 0.5684 0.5000 0.3666
10 C 0.5772 0.0000 0.3494
11 C 0.9228 0.5000 0.6506
12 C 0.9316 0.0000 0.6334

Output
Space group: C2/m (12)
Crystal system: monoclinic
Excess energy over the best structure of this formula in the dataset, eV per atom: 0.615

## Tb3Ho4Ni4 (GGA-PBE)

Data for a geometry-optimized Tb3Ho4Ni4 structure.

Lattice parameters (Å, degrees): 8.6162 8.6162 8.6162 149.40 129.03 60.62
Fractional positions:
1 Tb 0.0000 0.0000 0.0000
2 Tb 0.3959 0.8959 0.5000
3 Tb 0.6041 0.1041 0.5000
4 Ho 0.0441 0.3300 0.7141
5 Ho 0.3841 0.6700 0.7141
6 Ho 0.6159 0.3300 0.2859
7 Ho 0.9559 0.6700 0.2859
8 Ni 0.2060 0.2060 0.0000
9 Ni 0.3396 0.5000 0.8396
10 Ni 0.6604 0.5000 0.1604
11 Ni 0.7940 0.7940 0.0000

Output
Space group: Immm (71)
Crystal system: orthorhombic

## Sm6Er8In (GGA-PBE)

Data for a geometry-optimized Sm6Er8In structure.

Lattice parameters (Å, degrees): 9.3706 9.3706 6.3352 90.00 90.00 120.00
Fractional positions:
1 Sm 0.0903 0.4503 0.3169
2 Sm 0.3600 0.9097 0.3169
3 Sm 0.4503 0.3600 0.6831
4 Sm 0.5497 0.6400 0.3169
5 Sm 0.6400 0.0903 0.6831
6 Sm 0.9097 0.5497 0.6831
7 Er 0.0385 0.2640 0.8128
8 Er 0.2254 0.9615 0.8128
9 Er 0.2640 0.2254 0.1872
10 Er 0.3333 0.6667 0.8286
11 Er 0.6667 0.3333 0.1714
12 Er 0.7360 0.7746 0.8128
13 Er 0.7746 0.0385 0.1872
14 Er 0.9615 0.7360 0.1872
15 In 0.0000 0.0000 0.5000

Output
Space group: P-3 (147)
Crystal system: trigonal

## NaScAu2 (GGA-PBE)

Data for a geometry-optimized NaScAu2 structure.

Lattice parameters (Å, degrees): 3.3736 3.3736 7.4552 90.00 90.00 90.00
Fractional positions:
1 Na 0.0000 0.0000 0.0000
2 Sc 0.0000 0.0000 0.5000
3 Au 0.5000 0.5000 0.2883
4 Au 0.5000 0.5000 0.7117

Output
Space group: P4/mmm (123)
Crystal system: tetragonal

## MoRuAu2 (GGA-PBE)

Data for a geometry-optimized MoRuAu2 structure.

Lattice parameters (Å, degrees): 2.8298 2.8298 28.2321 90.00 90.00 120.00
Fractional positions:
1 Mo 0.0000 0.0000 0.0000
2 Mo 0.3333 0.6667 0.6667
3 Mo 0.6667 0.3333 0.3333
4 Ru 0.0000 0.0000 0.5000
5 Ru 0.3333 0.6667 0.1667
6 Ru 0.6667 0.3333 0.8333
7 Au 0.0000 0.0000 0.2498
8 Au 0.0000 0.0000 0.7502
9 Au 0.3333 0.6667 0.4168
10 Au 0.3333 0.6667 0.9165
11 Au 0.6667 0.3333 0.0835
12 Au 0.6667 0.3333 0.5832

Output
Space group: R-3m (166)
Crystal system: trigonal
Excess energy over the best structure of this formula in the dataset, eV per atom: 0.286

## DyHoTm2Sc4 (GGA-PBE)

Data for a geometry-optimized DyHoTm2Sc4 structure.

Lattice parameters (Å, degrees): 9.0426 9.0426 9.0426 137.96 103.44 91.42
Fractional positions:
1 Dy 0.5000 0.0000 0.0000
2 Dy 0.5000 0.5000 0.5000
3 Ho 0.0000 0.0000 0.0000
4 Ho 0.5000 0.0000 0.5000
5 Tm 0.0000 0.0000 0.5000
6 Tm 0.0000 0.5000 0.0000
7 Tm 0.0000 0.5000 0.5000
8 Tm 0.5000 0.5000 0.0000
9 Sc 0.2484 0.2488 0.5004
10 Sc 0.2484 0.7479 0.9996
11 Sc 0.2478 0.7491 0.4987
12 Sc 0.2497 0.2509 0.9987
13 Sc 0.7503 0.7491 0.0013
14 Sc 0.7522 0.2509 0.5013
15 Sc 0.7516 0.2521 0.0004
16 Sc 0.7516 0.7512 0.4996

Output
Space group: Imma (74)
Crystal system: orthorhombic

## Mg2SbC (GGA-PBE)

Data for a geometry-optimized Mg2SbC structure.

Lattice parameters (Å, degrees): 6.6558 6.6558 6.6558 90.00 90.00 90.00
Fractional positions:
1 Mg 0.2500 0.2500 0.2500
2 Mg 0.2500 0.2500 0.7500
3 Mg 0.2500 0.7500 0.2500
4 Mg 0.2500 0.7500 0.7500
5 Mg 0.7500 0.2500 0.2500
6 Mg 0.7500 0.2500 0.7500
7 Mg 0.7500 0.7500 0.2500
8 Mg 0.7500 0.7500 0.7500
9 Sb 0.0000 0.0000 0.0000
10 Sb 0.0000 0.5000 0.5000
11 Sb 0.5000 0.0000 0.5000
12 Sb 0.5000 0.5000 0.0000
13 C 0.0000 0.0000 0.5000
14 C 0.0000 0.5000 0.0000
15 C 0.5000 0.0000 0.0000
16 C 0.5000 0.5000 0.5000

Output
Space group: Fm-3m (225)
Crystal system: cubic
Excess energy over the best structure of this formula in the dataset, eV per atom: 0.429
Formation energy without anion corrections, eV/f.u.: 3.80

## Ta2Nb2In (GGA-PBE)

Data for a geometry-optimized Ta2Nb2In structure.

Lattice parameters (Å, degrees): 7.6107 7.6107 3.4293 90.00 90.00 90.00
Fractional positions:
1 Ta 0.1191 0.3809 0.0000
2 Ta 0.3809 0.8809 0.0000
3 Ta 0.6191 0.1191 0.0000
4 Ta 0.8809 0.6191 0.0000
5 Nb 0.1873 0.6873 0.5000
6 Nb 0.3127 0.1873 0.5000
7 Nb 0.6873 0.8127 0.5000
8 Nb 0.8127 0.3127 0.5000
9 In 0.0000 0.0000 0.0000
10 In 0.5000 0.5000 0.0000

Output
Space group: P4/mbm (127)
Crystal system: tetragonal
Excess energy over the best structure of this formula in the dataset, eV per atom: 0.306

## TmSc2TiRh4 (GGA-PBE)

Data for a geometry-optimized TmSc2TiRh4 structure.

Lattice parameters (Å, degrees): 7.9842 7.9842 7.9842 33.26 33.26 33.26
Fractional positions:
1 Tm 0.0000 0.0000 0.0000
2 Sc 0.2477 0.2477 0.2477
3 Sc 0.7523 0.7523 0.7523
4 Ti 0.5000 0.5000 0.5000
5 Rh 0.1301 0.1301 0.1301
6 Rh 0.3820 0.3820 0.3820
7 Rh 0.6180 0.6180 0.6180
8 Rh 0.8699 0.8699 0.8699

Output
Space group: R-3m (166)
Crystal system: trigonal

## TmMgZr (GGA-PBE)

Data for a geometry-optimized TmMgZr structure.

Lattice parameters (Å, degrees): 3.2936 3.2936 8.1537 90.00 90.00 120.00
Fractional positions:
1 Tm 0.0000 0.0000 0.0000
2 Mg 0.6667 0.3333 0.3553
3 Zr 0.3333 0.6667 0.6808

Output
Space group: P3m1 (156)
Crystal system: trigonal
Excess energy over the best structure of this formula in the dataset, eV per atom: 0.065

## Al2BrCl (GGA-PBE)

Data for a geometry-optimized Al2BrCl structure.

Lattice parameters (Å, degrees): 15.5946 3.3910 5.5732 90.00 106.96 90.00
Fractional positions:
1 Al 0.0000 0.0000 0.0000
2 Al 0.1208 0.5000 0.8404
3 Al 0.5000 0.5000 0.0000
4 Al 0.6208 0.0000 0.8404
5 Br 0.1153 0.0000 0.4386
6 Br 0.6153 0.5000 0.4386
7 Cl 0.4051 0.0000 0.0846
8 Cl 0.9051 0.5000 0.0846

Output
Space group: Cm (8)
Crystal system: monoclinic
Excess energy over the best structure of this formula in the dataset, eV per atom: 0.260
Formation energy without anion corrections, eV/f.u.: -1.52

## TlCr2Pb (GGA-PBE)

Data for a geometry-optimized TlCr2Pb structure.

Lattice parameters (Å, degrees): 3.3826 3.3826 26.3305 90.00 90.00 120.00
Fractional positions:
1 Tl 0.0000 0.0000 0.0000
2 Tl 0.3333 0.6667 0.6667
3 Tl 0.6667 0.3333 0.3333
4 Cr 0.0000 0.0000 0.2503
5 Cr 0.0000 0.0000 0.7497
6 Cr 0.3333 0.6667 0.4164
7 Cr 0.3333 0.6667 0.9170
8 Cr 0.6667 0.3333 0.0830
9 Cr 0.6667 0.3333 0.5836
10 Pb 0.0000 0.0000 0.5000
11 Pb 0.3333 0.6667 0.1667
12 Pb 0.6667 0.3333 0.8333

Output
Space group: R-3m (166)
Crystal system: trigonal
Excess energy over the best structure of this formula in the dataset, eV per atom: 0.289

## Er8ThIn2 (GGA-PBE)

Data for a geometry-optimized Er8ThIn2 structure.

Lattice parameters (Å, degrees): 9.9149 9.9149 5.2882 92.99 92.99 39.72
Fractional positions:
1 Er 0.0464 0.0464 0.2393
2 Er 0.1068 0.6253 0.2691
3 Er 0.3032 0.3032 0.7653
4 Er 0.3747 0.8932 0.7309
5 Er 0.6253 0.1068 0.2691
6 Er 0.6968 0.6968 0.2347
7 Er 0.8932 0.3747 0.7309
8 Er 0.9536 0.9536 0.7607
9 Th 0.5000 0.5000 0.0000
10 In 0.2128 0.2128 0.2458
11 In 0.7872 0.7872 0.7542

Output
Space group: C2/m (12)
Crystal system: monoclinic

## KRbPtCl6 (GGA-PBE)

Data for a geometry-optimized KRbPtCl6 structure.

Lattice parameters (Å, degrees): 7.4243 7.4243 6.6163 90.00 90.00 120.00
Fractional positions:
1 K 0.0000 0.0000 0.0000
2 Rb 0.6667 0.3333 0.5000
3 Pt 0.3333 0.6667 0.0000
4 Cl 0.0759 0.4088 0.2076
5 Cl 0.0759 0.6672 0.7924
6 Cl 0.3328 0.4088 0.7924
7 Cl 0.3328 0.9241 0.2076
8 Cl 0.5912 0.6672 0.2076
9 Cl 0.5912 0.9241 0.7924

Output
Space group: P312 (149)
Crystal system: trigonal
Formation energy without anion corrections, eV/f.u.: -10.31

## TbYTh2N4 (GGA-PBE)

Data for a geometry-optimized TbYTh2N4 structure.

Lattice parameters (Å, degrees): 6.1819 3.5905 6.2145 90.00 109.58 90.00
Fractional positions:
1 Tb 0.0000 0.0000 0.0000
2 Y 0.0000 0.5000 0.5000
3 Th 0.5000 0.0000 0.5000
4 Th 0.5000 0.5000 0.0000
5 N 0.2476 0.0000 0.7487
6 N 0.2479 0.5000 0.2497
7 N 0.7524 0.0000 0.2513
8 N 0.7521 0.5000 0.7503

Output
Space group: P2/m (10)
Crystal system: monoclinic
Formation energy without anion corrections, eV/f.u.: -12.90

## LaTcPb (GGA-PBE)

Data for a geometry-optimized LaTcPb structure.

Lattice parameters (Å, degrees): 6.8347 6.8347 6.8347 90.00 90.00 90.00
Fractional positions:
1 La 0.0000 0.0000 0.0000
2 La 0.0000 0.5000 0.5000
3 La 0.5000 0.0000 0.5000
4 La 0.5000 0.5000 0.0000
5 Tc 0.2500 0.2500 0.2500
6 Tc 0.2500 0.7500 0.7500
7 Tc 0.7500 0.2500 0.7500
8 Tc 0.7500 0.7500 0.2500
9 Pb 0.0000 0.0000 0.5000
10 Pb 0.0000 0.5000 0.0000
11 Pb 0.5000 0.0000 0.0000
12 Pb 0.5000 0.5000 0.5000

Output
Space group: F-43m (216)
Crystal system: cubic
Excess energy over the best structure of this formula in the dataset, eV per atom: 0.091

## NaLiBiSb (GGA-PBE)

Data for a geometry-optimized NaLiBiSb structure.

Lattice parameters (Å, degrees): 7.3788 7.3788 7.3788 90.00 90.00 90.00
Fractional positions:
1 Na 0.0000 0.0000 0.0000
2 Na 0.0000 0.5000 0.5000
3 Na 0.5000 0.0000 0.5000
4 Na 0.5000 0.5000 0.0000
5 Li 0.0000 0.0000 0.5000
6 Li 0.0000 0.5000 0.0000
7 Li 0.5000 0.0000 0.0000
8 Li 0.5000 0.5000 0.5000
9 Bi 0.2500 0.2500 0.7500
10 Bi 0.2500 0.7500 0.2500
11 Bi 0.7500 0.2500 0.2500
12 Bi 0.7500 0.7500 0.7500
13 Sb 0.2500 0.2500 0.2500
14 Sb 0.2500 0.7500 0.7500
15 Sb 0.7500 0.2500 0.7500
16 Sb 0.7500 0.7500 0.2500

Output
Space group: F-43m (216)
Crystal system: cubic
Excess energy over the best structure of this formula in the dataset, eV per atom: 0.066
Formation energy without anion corrections, eV/f.u.: -1.03

## Rb2PuReO6 (GGA-PBE)

Data for a geometry-optimized Rb2PuReO6 structure.

Lattice parameters (Å, degrees): 5.9518 5.9518 4.4078 90.00 90.00 90.00
Fractional positions:
1 Rb 0.0000 0.5000 0.0000
2 Rb 0.5000 0.0000 0.0000
3 Pu 0.0000 0.0000 0.5144
4 Re 0.5000 0.5000 0.4514
5 O 0.0000 0.0000 0.0206
6 O 0.2765 0.2765 0.5221
7 O 0.2765 0.7235 0.5221
8 O 0.5000 0.5000 0.0471
9 O 0.7235 0.2765 0.5221
10 O 0.7235 0.7235 0.5221

Output
Space group: P4mm (99)
Crystal system: tetragonal
Formation energy without anion corrections, eV/f.u.: -20.81

In μB per atom, the total magnetic moment values for the records above are, in order, 0.00 0.22 0.00 0.00 0.45 0.00 0.64 0.00 0.00 0.00 0.00 0.18 0.52 0.00 0.00 0.00 0.00 0.00 1.82 0.00 0.00 0.00 0.00 0.00 0.50.
In eV per atom, the E values for the records above are, in order, -6.170 -7.288 -2.787 -4.346 -2.190 -4.610 -1.924 -6.152 -5.257 -4.429 -4.130 -6.257 -4.978 -3.184 -8.984 -7.724 -4.822 -3.132 -5.625 -4.520 -3.278 -9.018 -6.139 -3.068 -7.928.